# 1
Density functional theory data (PBE) for a geometry-optimized Ba2CuRu structure.

The electronic total energy comes out at -49.6 eV for the cell shown. Its formation energy is 168 meV/atom.

The space group is R3m (No. 160, hexagonal axes) and the conventional cell measures 4.3758, 4.3758 and 25.6118 Å, with angles of 90.00, 90.00 and 120.00 degrees. The asymmetric unit holds Ba at (0.0000, 0.0000, 0.0000), Ba at (0.0000, 0.0000, 0.1637), Cu at (0.0000, 0.0000, 0.7486) and Ru at (0.0000, 0.0000, 0.4151).

---

# 2
Density functional theory data (PBE) for a geometry-optimized Ba2CuRu structure.

The electronic total energy comes out at -15.4 eV for the cell shown. Its formation energy is 462 meV/atom.

The space group is Pmmm (No. 47) and the conventional cell measures 3.7452, 3.7613 and 8.2020 Å, with angles of 90.00, 90.00 and 90.00 degrees. The asymmetric unit holds Ba at (0.0000, 0.0000, 0.2358), Cu at (0.5000, 0.5000, 0.5000) and Ru at (0.5000, 0.5000, 0.0000).

---

# 3
Density functional theory data (PBE) for a geometry-optimized Ba2CuRu structure.

The electronic total energy comes out at -58.2 eV for the cell shown. Its formation energy is 665 meV/atom.

The space group is F-43m (No. 216) and the conventional cell measures 7.4685, 7.4685 and 7.4685 Å, with angles of 90.00, 90.00 and 90.00 degrees. The asymmetric unit holds Ba at (0.0000, 0.0000, 0.0000), Ba at (0.2500, 0.2500, 0.2500), Cu at (0.0000, 0.0000, 0.5000) and Ru at (0.2500, 0.2500, 0.7500).

---

# 4
Density functional theory data (PBE) for a geometry-optimized Ba2CuRu structure.

The electronic total energy comes out at -29.4 eV for the cell shown. Its formation energy is 625 meV/atom.

The space group is C2/m (No. 12) and the conventional cell measures 7.9264, 3.8080 and 8.7389 Å, with angles of 90.00, 101.48 and 90.00 degrees. The asymmetric unit holds Ba at (0.2435, 0.0000, 0.2351), Cu at (0.0000, 0.0000, 0.5000) and Ru at (0.0000, 0.5000, 0.0000).

---

# 5
Density functional theory data (PBE) for a geometry-optimized Ba2CuRu structure.

The electronic total energy comes out at -57.8 eV for the cell shown. Its formation energy is 691 meV/atom.

The space group is I-42d (No. 122) and the conventional cell measures 8.5044, 8.5044 and 6.5722 Å, with angles of 90.00, 90.00 and 90.00 degrees. The asymmetric unit holds Ba at (0.2074, 0.7500, 0.1250), Cu at (0.0000, 0.0000, 0.5000) and Ru at (0.0000, 0.0000, 0.0000).

---

# 6
Density functional theory data (PBE) for a geometry-optimized BaCuRu3 structure.

The electronic total energy comes out at -19.8 eV for the cell shown. Its formation energy is 2802 meV/atom.

The space group is Pm-3m (No. 221) and the conventional cell measures 5.0101, 5.0101 and 5.0101 Å, with angles of 90.00, 90.00 and 90.00 degrees. The asymmetric unit holds Ba at (0.0000, 0.0000, 0.0000), Cu at (0.5000, 0.5000, 0.5000) and Ru at (0.0000, 0.0000, 0.5000).

---

# 7
Density functional theory data (PBE) for a geometry-optimized BaCuRu structure.

The energy above the most stable polymorph in this dataset comes out at 1.0019 eV/atom. The electronic total energy comes out at -43.5 eV for the cell shown. Its formation energy is 1474 meV/atom.

The space group is F-43m (No. 216) and the conventional cell measures 6.7483, 6.7483 and 6.7483 Å, with angles of 90.00, 90.00 and 90.00 degrees. The asymmetric unit holds Ba at (0.0000, 0.0000, 0.0000), Cu at (0.2500, 0.2500, 0.2500) and Ru at (0.2500, 0.2500, 0.7500).

---

# 8
Density functional theory data (PBE) for a geometry-optimized BaCuRu structure.

The energy above the most stable polymorph in this dataset comes out at 0.0316 eV/atom. The electronic total energy comes out at -27.6 eV for the cell shown. Its formation energy is 504 meV/atom.

The space group is I4mm (No. 107) and the conventional cell measures 3.4926, 3.4926 and 10.9507 Å, with angles of 90.00, 90.00 and 90.00 degrees. The asymmetric unit holds Ba at (0.0000, 0.0000, 0.0000), Cu at (0.0000, 0.0000, 0.2786) and Ru at (0.0000, 0.0000, 0.7194).